(1)
The following is a PBE-GGA calculation of a geometry-optimized MnMoAu2N structure, from Alexandria.

a = 4.4879 Å, b = 4.4879 Å, c = 3.9621 Å
α = 90.00°, β = 90.00°, γ = 90.00°
Fractional positions:
Mn (0.0000, 0.0000, 0.0000)
Mo (0.5000, 0.5000, 0.0000)
Au (0.0000, 0.5000, 0.5000)
Au (0.5000, 0.0000, 0.5000)
N (0.5000, 0.5000, 0.5000)

Calculated values
Symmetry: P4/mmm, No. 123
Uncorrected formation energy: 0.57 eV per atom
Fermi-level density of states: 0.3954 states/eV per atom

(2)
The following is a PBE-GGA calculation of a geometry-optimized LaGdSe structure, from Alexandria.

a = 4.0224 Å, b = 4.0224 Å, c = 6.7422 Å
α = 90.00°, β = 90.00°, γ = 120.00°
Fractional positions:
La (0.0000, 0.0000, 0.0000)
Gd (0.6667, 0.3333, 0.5518)
Se (0.3333, 0.6667, 0.2903)

Calculated values
Symmetry: P3m1, No. 156
Uncorrected formation energy: -1.16 eV per atom
Fermi-level density of states: 1.1507 states/eV per atom

(3)
The following is a PBE-GGA calculation of a geometry-optimized YSc7Tl4 structure, from Alexandria.

a = 7.1655 Å, b = 7.1655 Å, c = 10.4703 Å
α = 121.52°, β = 121.52°, γ = 43.83°
Fractional positions:
Y (0.0000, 0.0000, 0.0000)
Sc (0.0555, 0.0555, 0.3784)
Sc (0.2172, 0.2172, 0.8784)
Sc (0.3228, 0.3228, 0.3974)
Sc (0.5000, 0.5000, 0.0000)
Sc (0.6772, 0.6772, 0.6026)
Sc (0.7828, 0.7828, 0.1216)
Sc (0.9445, 0.9445, 0.6216)
Tl (0.3051, 0.3051, 0.6731)
Tl (0.4225, 0.4225, 0.2180)
Tl (0.5775, 0.5775, 0.7820)
Tl (0.6949, 0.6949, 0.3269)

Calculated values
Symmetry: C2/m, No. 12
Formation energy from the elements: 0.034 eV per atom
Fermi-level density of states: 1.1315 states/eV per atom

(4)
The following is a PBE-GGA calculation of a geometry-optimized BaLa2CdSn structure, from Alexandria.

a = 6.1679 Å, b = 6.1679 Å, c = 6.5163 Å
α = 90.00°, β = 90.00°, γ = 90.00°
Fractional positions:
Ba (0.0000, 0.0000, 0.0000)
La (0.0000, 0.5000, 0.5000)
La (0.5000, 0.0000, 0.5000)
Cd (0.0000, 0.0000, 0.5000)
Sn (0.5000, 0.5000, 0.0000)

Calculated values
Symmetry: P4/mmm, No. 123
Formation energy from the elements: 0.219 eV per atom
Fermi-level density of states: 1.6979 states/eV per atom

(5)
The following is a PBE-GGA calculation of a geometry-optimized MgTl2Cr structure, from Alexandria.

a = 3.6186 Å, b = 4.0889 Å, c = 6.3175 Å
α = 90.00°, β = 90.00°, γ = 90.00°
Fractional positions:
Mg (0.0000, 0.0000, 0.0000)
Tl (0.0000, 0.0000, 0.5347)
Tl (0.5000, 0.5000, 0.2394)
Cr (0.5000, 0.5000, 0.7574)

Calculated values
Symmetry: Pmm2, No. 25
Formation energy from the elements: 0.358 eV per atom
Fermi-level density of states: 0.4973 states/eV per atom

(6)
The following is a PBE-GGA calculation of a geometry-optimized Al2SiHg structure, from Alexandria.

a = 6.5195 Å, b = 6.5195 Å, c = 6.5195 Å
α = 119.86°, β = 119.86°, γ = 90.24°
Fractional positions:
Al (0.0893, 0.1250, 0.4643)
Al (0.3750, 0.9107, 0.0357)
Al (0.6607, 0.6250, 0.5357)
Al (0.8750, 0.3393, 0.9643)
Si (0.0000, 0.0000, 0.0000)
Si (0.7500, 0.2500, 0.5000)
Hg (0.2500, 0.7500, 0.5000)
Hg (0.5000, 0.5000, 0.0000)

Calculated values
Symmetry: I-42d, No. 122
Uncorrected formation energy: 0.35 eV per atom
Excess energy over the best structure of this formula in the dataset: 16.5 kJ per mole of atoms
Fermi-level density of states: 0.2110 states/eV per atom

Copy entry 3 word for word.
The following is a PBE-GGA calculation of a geometry-optimized YSc7Tl4 structure, from Alexandria.

a = 7.1655 Å, b = 7.1655 Å, c = 10.4703 Å
α = 121.52°, β = 121.52°, γ = 43.83°
Fractional positions:
Y (0.0000, 0.0000, 0.0000)
Sc (0.0555, 0.0555, 0.3784)
Sc (0.2172, 0.2172, 0.8784)
Sc (0.3228, 0.3228, 0.3974)
Sc (0.5000, 0.5000, 0.0000)
Sc (0.6772, 0.6772, 0.6026)
Sc (0.7828, 0.7828, 0.1216)
Sc (0.9445, 0.9445, 0.6216)
Tl (0.3051, 0.3051, 0.6731)
Tl (0.4225, 0.4225, 0.2180)
Tl (0.5775, 0.5775, 0.7820)
Tl (0.6949, 0.6949, 0.3269)

Calculated values
Symmetry: C2/m, No. 12
Formation energy from the elements: 0.034 eV per atom
Fermi-level density of states: 1.1315 states/eV per atom

Which of these has the highest Fermi-level density of states? BaLa2CdSn

Fermi-level density of states of number 3 (YSc7Tl4)? 1.1315 states/eV per atom